(1)
Here is a relaxed structure of LaSc2As from Alexandria. Energies are from PBE.

a b c (Å): 6.2546 10.5694 3.7150
angles (deg): 90.00 125.43 90.00
Last column: nearest neighbours and their distance in Å.
Space group C2/m (No. 12)
One atom of each set of equivalent atoms:
La 0.0000 0.0000 0.0000 [2 per cell]  4 Sc 3.08, 4 As 3.13-3.18
Sc 0.2500 0.2500 0.5000 [4 per cell]  2 As 3.08, 2 La 3.08, 4 Sc 3.13-3.18
As 0.0000 0.5000 0.0000 [2 per cell]  4 Sc 3.08, 4 La 3.13-3.18

Properties
- theoretical density (g/cm3) = 5.04
- uncorrected energy (eV for the cell shown) = -46.9
- total magnetization (μB/atom) = 0.24

***

(2)
Here is a relaxed structure of La4ScAs from Alexandria. Energies are from PBE.

a b c (Å): 9.1082 9.1082 9.1082
angles (deg): 90.00 90.00 90.00
Last column: nearest neighbours and their distance in Å.
Space group F-43m (No. 216)
One atom of each set of equivalent atoms:
La 0.1239 0.1239 0.1239 [16 per cell]  6 La 3.19-3.25
Sc 0.2500 0.2500 0.7500 [4 per cell]  12 La 3.77, 4 As 3.94
As 0.0000 0.0000 0.5000 [4 per cell]  12 La 3.78, 4 Sc 3.94

Properties
- theoretical density (g/cm3) = 5.94
- uncorrected energy (eV for the cell shown) = -116.4
- total magnetization (μB/atom) = 0.19

***

(3)
Here is a relaxed structure of LaSc2As from Alexandria. Energies are from PBE.

a b c (Å): 3.8010 4.5809 6.1060
angles (deg): 90.00 106.30 90.00
Last column: nearest neighbours and their distance in Å.
Space group P2/m (No. 10)
One atom of each set of equivalent atoms:
La 0.0000 0.0000 0.0000 [1 per cell]  2 As 3.11, 8 Sc 3.39-3.45
Sc 0.3563 0.5000 0.7115 [2 per cell]  2 As 2.76, 1 Sc 3.07
As 0.5000 0.0000 0.5000 [1 per cell]  4 Sc 2.76

Properties
- theoretical density (g/cm3) = 4.94
- uncorrected energy (eV for the cell shown) = -24.0
- total magnetization (μB/atom) = 0.00

***

(4)
Here is a relaxed structure of LaSc2As from Alexandria. Energies are from PBE.

a b c (Å): 8.4610 8.4610 6.1450
angles (deg): 90.00 90.00 90.00
Last column: nearest neighbours and their distance in Å.
Space group I-42d (No. 122)
One atom of each set of equivalent atoms:
La 0.0000 0.0000 0.0000 [4 per cell]  2 As 3.07
Sc 0.1756 0.2500 0.6250 [8 per cell]  2 As 2.70
As 0.0000 0.0000 0.5000 [4 per cell]  4 Sc 2.70

Properties
- theoretical density (g/cm3) = 4.59
- uncorrected energy (eV for the cell shown) = -94.8
- total magnetization (μB/atom) = 0.00

***

(5)
Here is a relaxed structure of La2ScAs4 from Alexandria. Energies are from PBE.

a b c (Å): 5.0628 5.0628 15.0251
angles (deg): 90.00 90.00 90.00
Last column: nearest neighbours and their distance in Å.
Space group I4/mmm (No. 139)
One atom of each set of equivalent atoms:
La 0.0000 0.0000 0.1274 [4 per cell]  5 As 2.95-3.17
Sc 0.0000 0.0000 0.5000 [2 per cell]  6 As 2.53-2.65
As 0.0000 0.0000 0.3235 [4 per cell]  1 Sc 2.65, 1 La 2.95
As 0.0000 0.5000 0.0000 [4 per cell]  2 Sc 2.53

Properties
- theoretical density (g/cm3) = 5.37
- uncorrected energy (eV for the cell shown) = -82.4
- total magnetization (μB/atom) = 0.00

***

(6)
Here is a relaxed structure of LaSc2As from Alexandria. Energies are from PBE.

a b c (Å): 5.4114 3.4223 5.4644
angles (deg): 90.00 110.02 90.00
Last column: nearest neighbours and their distance in Å.
Space group P2/m (No. 10)
One atom of each set of equivalent atoms:
La 0.0000 0.0000 0.0000 [1 per cell]  6 Sc 3.12-3.20, 4 As 3.22, 2 La 3.42
Sc 0.5000 0.0000 0.5000 [1 per cell]  2 La 3.12, 4 As 3.20, 6 Sc 3.22-3.42
Sc 0.5000 0.5000 0.0000 [1 per cell]  2 As 3.12, 4 La 3.20, 6 Sc 3.22-3.42
As 0.0000 0.5000 0.5000 [1 per cell]  6 Sc 3.12-3.20, 4 La 3.22, 2 As 3.42

Properties
- theoretical density (g/cm3) = 5.30
- uncorrected energy (eV for the cell shown) = -23.7
- total magnetization (μB/atom) = 0.00

***

(7)
Here is a relaxed structure of LaSc2As2 from Alexandria. Energies are from PBE.

a b c (Å): 7.8194 7.8194 3.6540
angles (deg): 90.00 90.00 90.00
Last column: nearest neighbours and their distance in Å.
Space group P4/mbm (No. 127)
One atom of each set of equivalent atoms:
La 0.0000 0.0000 0.0000 [2 per cell]  4 As 3.01
Sc 0.1497 0.3503 0.5000 [4 per cell]  6 As 2.92-2.94
As 0.1423 0.6423 0.0000 [4 per cell]  6 Sc 2.92-2.94, 2 La 3.01, 1 As 3.15

Properties
- theoretical density (g/cm3) = 5.63
- uncorrected energy (eV for the cell shown) = -64.0
- total magnetization (μB/atom) = 0.00

***

(8)
Here is a relaxed structure of LaScAs from Alexandria. Energies are from PBE.

a b c (Å): 4.6383 4.6383 4.2140
angles (deg): 90.00 90.00 120.00
Last column: nearest neighbours and their distance in Å.
Space group P-6m2 (No. 187)
One atom of each set of equivalent atoms:
La 0.0000 0.0000 0.0000 [1 per cell]  6 As 3.41, 6 Sc 3.41
Sc 0.6667 0.3333 0.5000 [1 per cell]  3 As 2.68
As 0.3333 0.6667 0.5000 [1 per cell]  3 Sc 2.68

Properties
- theoretical density (g/cm3) = 5.47
- uncorrected energy (eV for the cell shown) = -18.1
- total magnetization (μB/atom) = 0.24

***

(9)
Here is a relaxed structure of LaSc3As from Alexandria. Energies are from PBE.

a b c (Å): 5.1529 5.1529 5.1529
angles (deg): 90.00 90.00 90.00
Last column: nearest neighbours and their distance in Å.
Space group Pm-3m (No. 221)
One atom of each set of equivalent atoms:
La 0.0000 0.0000 0.0000 [1 per cell]  6 Sc 2.58
Sc 0.0000 0.0000 0.5000 [3 per cell]  2 La 2.58
As 0.5000 0.5000 0.5000 [1 per cell]  12 Sc 3.64

Properties
- theoretical density (g/cm3) = 4.23
- uncorrected energy (eV for the cell shown) = -23.8
- total magnetization (μB/atom) = 0.00

***

(10)
Here is a relaxed structure of LaScAs4 from Alexandria. Energies are from PBE.

a b c (Å): 8.0696 8.0696 8.0696
angles (deg): 90.00 90.00 90.00
Last column: nearest neighbours and their distance in Å.
Space group F-43m (No. 216)
One atom of each set of equivalent atoms:
La 0.0000 0.0000 0.0000 [4 per cell]  12 As 3.35, 4 Sc 3.49
Sc 0.2500 0.2500 0.7500 [4 per cell]  12 As 3.34, 4 La 3.49
As 0.1233 0.1233 0.3767 [16 per cell]  6 As 2.81-2.89

Properties
- theoretical density (g/cm3) = 6.11
- uncorrected energy (eV for the cell shown) = -127.3
- total magnetization (μB/atom) = 0.00

***

(11)
Here is a relaxed structure of LaSc2As2 from Alexandria. Energies are from PBE.

a b c (Å): 4.2316 4.2316 13.0531
angles (deg): 90.00 90.00 90.00
Last column: nearest neighbours and their distance in Å.
Space group I4/mmm (No. 139)
One atom of each set of equivalent atoms:
La 0.0000 0.0000 0.0000 [2 per cell]  8 As 3.35
Sc 0.0000 0.5000 0.2500 [4 per cell]  4 As 2.75, 4 Sc 2.99
As 0.0000 0.0000 0.3841 [4 per cell]  4 Sc 2.75, 1 As 3.03

Properties
- theoretical density (g/cm3) = 5.38
- uncorrected energy (eV for the cell shown) = -64.5
- total magnetization (μB/atom) = 0.15

***

(12)
Here is a relaxed structure of LaSc2As from Alexandria. Energies are from PBE.

a b c (Å): 3.3820 3.3820 32.6477
angles (deg): 90.00 90.00 120.00
Last column: nearest neighbours and their distance in Å.
Space group R-3m (No. 166, hexagonal axes)
One atom of each set of equivalent atoms:
La 0.0000 0.0000 0.0000 [3 per cell]  6 La 3.38, 6 Sc 3.41
Sc 0.0000 0.0000 0.4190 [6 per cell]  1 As 2.65
As 0.0000 0.0000 0.5000 [3 per cell]  2 Sc 2.65

Properties
- theoretical density (g/cm3) = 4.68
- uncorrected energy (eV for the cell shown) = -65.7
- total magnetization (μB/atom) = 0.00

***

(13)
Here is a relaxed structure of LaScAs from Alexandria. Energies are from PBE.

a b c (Å): 6.8547 6.8547 6.8547
angles (deg): 90.00 90.00 90.00
Last column: nearest neighbours and their distance in Å.
Space group F-43m (No. 216)
One atom of each set of equivalent atoms:
La 0.0000 0.0000 0.0000 [4 per cell]  4 As 2.97
Sc 0.0000 0.0000 0.5000 [4 per cell]  4 As 2.97
As 0.2500 0.2500 0.7500 [4 per cell]  4 La 2.97, 4 Sc 2.97

Properties
- theoretical density (g/cm3) = 5.34
- uncorrected energy (eV for the cell shown) = -72.6
- total magnetization (μB/atom) = 0.00

***

(14)
Here is a relaxed structure of LaSc2As from Alexandria. Energies are from PBE.

a b c (Å): 3.5826 5.2621 10.7864
angles (deg): 90.00 90.00 90.00
Last column: nearest neighbours and their distance in Å.
Space group Immm (No. 71)
One atom of each set of equivalent atoms:
La 0.0000 0.0000 0.0000 [2 per cell]  4 As 3.18, 4 Sc 3.39
Sc 0.0000 0.5000 0.1979 [4 per cell]  2 As 2.79
As 0.0000 0.0000 0.5000 [2 per cell]  4 Sc 2.79

Properties
- theoretical density (g/cm3) = 4.96
- uncorrected energy (eV for the cell shown) = -49.1
- total magnetization (μB/atom) = 0.00